Record 1
Below is a relaxed structure of TaTiMoO6, with properties calculated at the PBE with a Hubbard U level.

abc: 5.1751 5.1751 9.1849
angles: 90.00 90.00 120.00
Atoms (fractional coordinates):
Ta 0.6667 0.3333 0.2500
Ta 0.3333 0.6667 0.7500
Ti 0.3333 0.6667 0.2500
Ti 0.6667 0.3333 0.7500
Mo 0.0000 0.0000 0.0000
Mo 0.0000 0.0000 0.5000
O 0.6487 0.6516 0.1346
O 0.0029 0.3513 0.1346
O 0.3513 0.0029 0.6346
O 0.9971 0.6487 0.8654
O 0.3484 0.3513 0.3654
O 0.0029 0.6516 0.3654
O 0.6516 0.0029 0.8654
O 0.6487 0.9971 0.3654
O 0.9971 0.3484 0.6346
O 0.3484 0.9971 0.1346
O 0.6516 0.6487 0.6346
O 0.3513 0.3484 0.8654

DOS(E_F) (states/eV per cell): 0.0
Symmetry: P-31c
Volume (Å³ per atom): 11.84


Record 2
Below is a relaxed structure of TaTl2MoO6, with properties calculated at the PBE with a Hubbard U level.

abc: 5.7616 5.7616 5.7616
angles: 60.00 60.00 60.00
Atoms (fractional coordinates):
Ta 0.0000 0.0000 0.0000
Tl 0.7500 0.7500 0.7500
Tl 0.2500 0.2500 0.2500
Mo 0.5000 0.5000 0.5000
O 0.2497 0.7503 0.7503
O 0.2497 0.7503 0.2497
O 0.2497 0.2497 0.7503
O 0.7503 0.7503 0.2497
O 0.7503 0.2497 0.2497
O 0.7503 0.2497 0.7503

DOS(E_F) (states/eV per cell): 2.0
Symmetry: Fm-3m
Volume (Å³ per atom): 13.52


Record 3
Below is a relaxed structure of Ta3Tl2MoO12, with properties calculated at the PBE with a Hubbard U level.

abc: 7.4405 7.4405 7.4405
angles: 60.16 60.16 60.16
Atoms (fractional coordinates):
Ta 0.5000 0.0000 0.0000
Ta 0.0000 0.5000 0.0000
Ta 0.0000 0.0000 0.5000
Tl 0.6122 0.6122 0.6122
Tl 0.3878 0.3878 0.3878
Mo 0.0000 0.0000 0.0000
O 0.3148 0.3148 0.9363
O 0.9402 0.9402 0.3049
O 0.3049 0.9402 0.9402
O 0.9363 0.3148 0.3148
O 0.9402 0.3049 0.9402
O 0.3148 0.9363 0.3148
O 0.6852 0.6852 0.0637
O 0.0598 0.0598 0.6951
O 0.6951 0.0598 0.0598
O 0.0637 0.6852 0.6852
O 0.0598 0.6951 0.0598
O 0.6852 0.0637 0.6852

DOS(E_F) (states/eV per cell): 12.7
Symmetry: R-3m
Volume (Å³ per atom): 16.24


| no. | E_tot (eV/atom) |
| --- | --- |
| 1 | -8.854 |
| 2 | -7.040 |
| 3 | -8.063 |